An optimized crystal structure of Nb4V2Mo5. Source: the Alexandria database, functional GGA-PBE.

Values from the calculation:
DFT formation energy: 0.05 eV/atom
final energy: -10.1961 eV per atom

abc: 2.7351 7.0520 9.6498
angles: 94.52 79.08 97.76
With the nearest neighbours (Å) after each atom.
Fractional coordinates of all 11 atoms:
Mo 0.1597 0.0888 0.2738  4 Mo 2.68-2.79, 3 Nb 2.75-2.85, 1 V 2.82
Mo 0.8403 0.9112 0.7262  4 Mo 2.68-2.79, 3 Nb 2.75-2.85, 1 V 2.82
Mo 0.0814 0.5435 0.6360  4 Mo 2.74-2.79, 3 Nb 2.76-2.80, 1 V 2.77
Mo 0.5000 0.0000 0.0000  4 Mo 2.68-2.74, 2 Nb 2.69, 2 V 2.71
Mo 0.9186 0.4565 0.3640  4 Mo 2.74-2.79, 3 Nb 2.76-2.80, 1 V 2.77
Nb 0.6403 0.8141 0.4518  1 V 2.70, 3 Nb 2.74-2.87, 4 Mo 2.75-2.82
Nb 0.3597 0.1859 0.5482  1 V 2.70, 3 Nb 2.74-2.87, 4 Mo 2.75-2.82
Nb 0.7613 0.3633 0.0918  3 Mo 2.69-2.85, 3 Nb 2.74-2.75, 2 V 2.82-2.87
Nb 0.2387 0.6367 0.9082  3 Mo 2.69-2.85, 3 Nb 2.74-2.75, 2 V 2.82-2.87
V 0.5247 0.2722 0.8149  3 Nb 2.70-2.87, 3 Mo 2.71-2.82, 2 V 2.74
V 0.4753 0.7278 0.1851  3 Nb 2.70-2.87, 3 Mo 2.71-2.82, 2 V 2.74



An optimized crystal structure of Nb2VMo6. Source: the Alexandria database, functional GGA-PBE.

Values from the calculation:
distance to the lowest polymorph of the same formula: 0.0000 eV per atom
DFT formation energy: 0.13 eV/atom
final energy: -10.3423 eV per atom

abc: 2.6827 8.2205 8.1466
angles: 120.30 74.62 90.00
With the nearest neighbours (Å) after each atom.
Fractional coordinates of all 9 atoms:
Mo 0.5000 0.6793 0.0000  4 Mo 2.62-2.68, 2 Nb 2.90
Mo 0.5000 0.3207 0.0000  4 Mo 2.62-2.68, 2 Nb 2.90
Mo 0.9821 0.9953 0.3290  5 Mo 2.62-2.78, 1 V 2.69, 2 Nb 2.82-2.86
Mo 0.9821 0.3336 0.3290  5 Mo 2.62-2.78, 1 V 2.69, 2 Nb 2.82-2.86
Mo 0.0179 0.0047 0.6710  5 Mo 2.62-2.78, 1 V 2.69, 2 Nb 2.82-2.86
Mo 0.0179 0.6664 0.6710  5 Mo 2.62-2.78, 1 V 2.69, 2 Nb 2.82-2.86
Nb 0.6492 0.6671 0.3342  2 Nb 2.68, 6 Mo 2.82-2.90
Nb 0.3508 0.3329 0.6658  2 Nb 2.68, 6 Mo 2.82-2.90
V 0.0000 0.0000 0.0000  2 V 2.68, 8 Mo 2.69-2.96



An optimized crystal structure of Nb2V3Mo6. Source: the Alexandria database, functional GGA-PBE.

Values from the calculation:
DFT formation energy: -0.08 eV/atom
final energy: -10.3079 eV per atom

abc: 2.7575 4.4186 14.3966
angles: 98.83 97.39 90.00
With the nearest neighbours (Å) after each atom.
Fractional coordinates of all 11 atoms:
V 0.0877 0.8165 0.6331  6 Mo 2.66-2.71, 2 V 2.76
V 0.0000 0.0000 0.0000  4 Nb 2.73, 2 V 2.76, 2 Mo 2.81
V 0.9123 0.1835 0.3669  6 Mo 2.66-2.71, 2 V 2.76
Mo 0.3631 0.2719 0.5438  5 Mo 2.65-2.76, 3 V 2.66-2.71
Mo 0.5424 0.9057 0.8114  2 V 2.68-2.81, 4 Mo 2.71-2.76, 2 Nb 2.74
Mo 0.6368 0.7281 0.4562  5 Mo 2.65-2.76, 3 V 2.66-2.71
Mo 0.8085 0.3601 0.7203  5 Mo 2.65-2.76, 2 V 2.69, 1 Nb 2.79
Mo 0.4576 0.0943 0.1886  2 V 2.68-2.81, 4 Mo 2.71-2.76, 2 Nb 2.74
Mo 0.1915 0.6399 0.2797  5 Mo 2.65-2.76, 2 V 2.69, 1 Nb 2.79
Nb 0.2724 0.4532 0.9064  2 V 2.73, 3 Mo 2.74-2.79, 3 Nb 2.76-2.79
Nb 0.7276 0.5468 0.0936  2 V 2.73, 3 Mo 2.74-2.79, 3 Nb 2.76-2.79



An optimized crystal structure of Nb4VMo5. Source: the Alexandria database, functional GGA-PBE.

Values from the calculation:
DFT formation energy: -0.12 eV/atom
final energy: -10.4739 eV per atom

abc: 3.2070 3.2070 16.0082
angles: 90.00 90.00 90.00
With the nearest neighbours (Å) after each atom.
Fractional coordinates of all 10 atoms:
Mo 0.5000 0.5000 0.9064  4 V 2.72, 4 Nb 2.79, 1 Mo 3.00
Mo 0.5000 0.5000 0.2966  8 Nb 2.79
Mo 0.5000 0.5000 0.0936  4 V 2.72, 4 Nb 2.79, 1 Mo 3.00
Mo 0.5000 0.5000 0.5000  8 Nb 2.79
Mo 0.5000 0.5000 0.7034  8 Nb 2.79
V 0.0000 0.0000 0.0000  8 Mo 2.72
Nb 0.0000 0.0000 0.1954  8 Mo 2.79
Nb 0.0000 0.0000 0.3984  8 Mo 2.79
Nb 0.0000 0.0000 0.6016  8 Mo 2.79
Nb 0.0000 0.0000 0.8046  8 Mo 2.79



An optimized crystal structure of NbV3Mo. Source: the Alexandria database, functional GGA-PBE.

Values from the calculation:
distance to the lowest polymorph of the same formula: 0.0000 eV per atom
DFT formation energy: -0.02 eV/atom
final energy: -9.6702 eV per atom

abc: 4.2937 5.3641 6.8781
angles: 98.26 108.19 90.00
With the nearest neighbours (Å) after each atom.
Fractional coordinates of all 10 atoms:
V 0.4052 0.0520 0.8104  3 V 2.61-2.62, 2 Mo 2.67-2.69, 3 Nb 2.67-2.82
V 0.9988 0.2488 0.9976  5 V 2.61-2.69, 2 Mo 2.66, 1 Nb 2.75
V 0.1958 0.6427 0.3916  3 Mo 2.62-2.81, 4 Nb 2.67-2.71, 1 V 2.69
V 0.5948 0.9480 0.1896  3 V 2.61-2.62, 2 Mo 2.67-2.69, 3 Nb 2.67-2.82
V 0.8042 0.3573 0.6084  3 Mo 2.62-2.81, 4 Nb 2.67-2.71, 1 V 2.69
V 0.0012 0.7512 0.0024  5 V 2.61-2.69, 2 Mo 2.66, 1 Nb 2.75
Mo 0.4012 0.5486 0.8024  7 V 2.62-2.81, 1 Mo 2.71
Mo 0.5988 0.4514 0.1976  7 V 2.62-2.81, 1 Mo 2.71
Nb 0.1986 0.1459 0.3973  8 V 2.67-2.82
Nb 0.8014 0.8541 0.6027  8 V 2.67-2.82



An optimized crystal structure of NbVMo2. Source: the Alexandria database, functional GGA-PBE.

Values from the calculation:
distance to the lowest polymorph of the same formula: 0.0331 eV per atom
DFT formation energy: -0.08 eV/atom
final energy: -10.2926 eV per atom

abc: 4.4279 5.5246 7.0605
angles: 105.29 128.85 90.17
With the nearest neighbours (Å) after each atom.
Fractional coordinates of all 8 atoms:
V 0.0000 0.2500 0.5000  4 Mo 2.70-2.71, 2 Nb 2.75, 2 V 2.76
V 0.0000 0.7500 0.5000  4 Mo 2.70-2.71, 2 Nb 2.75, 2 V 2.76
Nb 0.5000 0.7500 0.0000  4 Mo 2.74, 2 V 2.75, 2 Nb 2.76
Nb 0.5000 0.2500 0.0000  4 Mo 2.74, 2 V 2.75, 2 Nb 2.76
Mo 0.7429 0.9965 0.7429  4 Mo 2.69-2.81, 2 V 2.70-2.71, 2 Nb 2.74
Mo 0.2571 0.5035 0.2570  4 Mo 2.69-2.81, 2 V 2.70-2.71, 2 Nb 2.74
Mo 0.7429 0.4965 0.7430  4 Mo 2.69-2.81, 2 V 2.70-2.71, 2 Nb 2.74
Mo 0.2571 0.0035 0.2571  4 Mo 2.69-2.81, 2 V 2.70-2.71, 2 Nb 2.74



An optimized crystal structure of NbV3Mo6. Source: the Alexandria database, functional GGA-PBE.

Values from the calculation:
distance to the lowest polymorph of the same formula: 0.0000 eV per atom
DFT formation energy: -0.10 eV/atom
final energy: -10.3376 eV per atom

abc: 2.7416 13.5154 8.8040
angles: 90.12 90.11 109.66
With the nearest neighbours (Å) after each atom.
Fractional coordinates of all 20 atoms:
V 0.7520 0.7525 0.3760  3 V 2.64-2.74, 5 Mo 2.65-2.73
V 0.2518 0.0496 0.1245  5 Mo 2.64-2.73, 3 V 2.69-2.74
V 0.7482 0.9504 0.8755  5 Mo 2.64-2.73, 3 V 2.69-2.74
V 0.2505 0.6535 0.6177  4 Mo 2.60-2.79, 3 V 2.64-2.74, 1 Nb 2.72
V 0.7495 0.3465 0.3823  4 Mo 2.60-2.79, 3 V 2.64-2.74, 1 Nb 2.72
V 0.2480 0.2475 0.6240  3 V 2.64-2.74, 5 Mo 2.65-2.73
Nb 0.2484 0.4473 0.1308  1 V 2.72, 4 Mo 2.73-2.82, 3 Nb 2.74-2.82
Nb 0.7516 0.5527 0.8692  1 V 2.72, 4 Mo 2.73-2.82, 3 Nb 2.74-2.82
Mo 0.2526 0.0497 0.6274  6 Mo 2.66-2.74, 2 V 2.68-2.69
Mo 0.2571 0.6562 0.1300  1 V 2.65, 5 Mo 2.68-2.77, 2 Nb 2.80-2.82
Mo 0.2450 0.8500 0.6222  3 V 2.65-2.73, 5 Mo 2.66-2.74
Mo 0.7569 0.5538 0.3806  3 V 2.60-2.79, 4 Mo 2.68-2.74, 1 Nb 2.73
Mo 0.2441 0.2444 0.1291  2 V 2.64-2.74, 5 Mo 2.66-2.77, 1 Nb 2.74
Mo 0.7550 0.1500 0.3778  3 V 2.65-2.73, 5 Mo 2.66-2.74
Mo 0.7559 0.7556 0.8709  2 V 2.64-2.74, 5 Mo 2.66-2.77, 1 Nb 2.74
Mo 0.2431 0.4462 0.6194  3 V 2.60-2.79, 4 Mo 2.68-2.74, 1 Nb 2.73
Mo 0.7429 0.3438 0.8700  1 V 2.65, 5 Mo 2.68-2.77, 2 Nb 2.80-2.82
Mo 0.2581 0.8548 0.1244  3 V 2.64-2.73, 5 Mo 2.66-2.74
Mo 0.7474 0.9503 0.3726  6 Mo 2.66-2.74, 2 V 2.68-2.69
Mo 0.7419 0.1452 0.8756  3 V 2.64-2.73, 5 Mo 2.66-2.74



An optimized crystal structure of Nb2V5Mo5. Source: the Alexandria database, functional GGA-PBE.

Values from the calculation:
DFT formation energy: -0.09 eV/atom
final energy: -10.0771 eV per atom

abc: 4.3520 6.9943 7.0540
angles: 101.86 72.03 71.87
With the nearest neighbours (Å) after each atom.
Fractional coordinates of all 12 atoms:
Mo 0.0036 0.2465 0.7464  4 V 2.68-2.73, 3 Nb 2.69-2.78, 1 Mo 2.73
Mo 0.6697 0.2463 0.4143  5 V 2.66-2.71, 1 Mo 2.72, 2 Nb 2.73-2.74
Mo 0.3303 0.7537 0.5857  5 V 2.66-2.71, 1 Mo 2.72, 2 Nb 2.73-2.74
Mo 0.9964 0.7535 0.2536  4 V 2.68-2.73, 3 Nb 2.69-2.78, 1 Mo 2.73
Mo 0.0000 0.0000 0.0000  4 V 2.63, 4 Mo 2.72-2.73
V 0.3408 0.2361 0.0824  2 Mo 2.63, 3 V 2.67-2.77, 3 Nb 2.74-2.81
V 0.0000 0.5000 0.5000  6 Mo 2.69-2.73, 2 V 2.77
V 0.6707 0.9968 0.6618  6 Mo 2.66-2.71, 2 V 2.67-2.74
V 0.6592 0.7639 0.9176  2 Mo 2.63, 3 V 2.67-2.77, 3 Nb 2.74-2.81
V 0.3293 0.0032 0.3382  6 Mo 2.66-2.71, 2 V 2.67-2.74
Nb 0.3355 0.4986 0.8305  5 Mo 2.69-2.78, 3 V 2.74-2.81
Nb 0.6646 0.5014 0.1695  5 Mo 2.69-2.78, 3 V 2.74-2.81



An optimized crystal structure of Nb3VMo3. Source: the Alexandria database, functional GGA-PBE.

Values from the calculation:
DFT formation energy: 0.21 eV/atom
final energy: -10.0549 eV per atom

abc: 5.4127 5.4127 8.8939
angles: 90.07 90.07 109.91
With the nearest neighbours (Å) after each atom.
Fractional coordinates of all 14 atoms:
Nb 0.4999 0.4999 0.7035  4 Mo 2.73
Nb 0.8074 0.1926 0.5000  6 Mo 2.72-2.87
Nb 0.5001 0.5001 0.2965  4 Mo 2.73
Nb 0.1926 0.8074 0.5000  6 Mo 2.72-2.87
Nb 0.7401 0.2599 0.0000  4 V 2.66-2.76, 4 Mo 2.75
Nb 0.2599 0.7401 0.0000  4 V 2.66-2.76, 4 Mo 2.75
Mo 0.0003 0.0003 0.7594  2 V 2.62-2.63, 4 Mo 2.71, 2 Nb 2.87
Mo 0.4999 0.0000 0.2548  2 Mo 2.71, 6 Nb 2.72-2.75
Mo 0.0000 0.5001 0.7452  2 Mo 2.71, 6 Nb 2.72-2.75
Mo 0.5001 0.0000 0.7452  2 Mo 2.71, 6 Nb 2.72-2.75
Mo 0.9997 0.9997 0.2406  2 V 2.62-2.63, 4 Mo 2.71, 2 Nb 2.87
Mo 0.0000 0.4999 0.2548  2 Mo 2.71, 6 Nb 2.72-2.75
V 0.2441 0.2441 0.0000  2 Mo 2.62-2.63, 4 Nb 2.66-2.76
V 0.7559 0.7559 0.0000  2 Mo 2.62-2.63, 4 Nb 2.66-2.76



An optimized crystal structure of Nb2V3Mo. Source: the Alexandria database, functional GGA-PBE.

Values from the calculation:
distance to the lowest polymorph of the same formula: 0.1063 eV per atom
DFT formation energy: 0.01 eV/atom
final energy: -9.7108 eV per atom

abc: 4.5720 5.2730 9.7586
angles: 78.11 62.07 63.92
With the nearest neighbours (Å) after each atom.
Fractional coordinates of all 12 atoms:
Nb 0.1661 0.6680 0.5000  4 V 2.70-2.74, 4 Nb 2.77-2.79
Nb 0.8339 0.3320 0.5000  4 V 2.70-2.74, 4 Nb 2.77-2.79
Nb 0.0000 0.0000 0.0000  4 V 2.65, 4 Mo 2.78-2.80
Nb 0.5000 0.0000 0.5000  4 V 2.73, 4 Nb 2.77-2.78
V 0.0737 0.3397 0.7559  1 Mo 2.60, 3 Nb 2.65-2.73, 4 V 2.73-2.80
V 0.9263 0.6603 0.2441  1 Mo 2.60, 3 Nb 2.65-2.73, 4 V 2.73-2.80
V 0.4143 0.6603 0.7559  1 Mo 2.60, 3 Nb 2.65-2.73, 4 V 2.73-2.80
V 0.7402 0.0000 0.7597  2 Mo 2.62, 2 Nb 2.74, 4 V 2.79-2.80
V 0.2598 0.0000 0.2403  2 Mo 2.62, 2 Nb 2.74, 4 V 2.79-2.80
V 0.5857 0.3397 0.2441  1 Mo 2.60, 3 Nb 2.65-2.73, 4 V 2.73-2.80
Mo 0.3312 0.3372 0.0000  4 V 2.60-2.62, 2 Mo 2.75-2.77, 2 Nb 2.78-2.80
Mo 0.6688 0.6628 0.0000  4 V 2.60-2.62, 2 Mo 2.75-2.77, 2 Nb 2.78-2.80



An optimized crystal structure of NbV3Mo2. Source: the Alexandria database, functional GGA-PBE.

Values from the calculation:
DFT formation energy: -0.08 eV/atom
final energy: -9.9235 eV per atom

abc: 3.0953 3.0953 9.3873
angles: 90.00 90.00 90.00
With the nearest neighbours (Å) after each atom.
Fractional coordinates of all 6 atoms:
Mo 0.5000 0.5000 0.8352  8 V 2.64-2.68
Mo 0.5000 0.5000 0.1648  8 V 2.64-2.68
Nb 0.5000 0.5000 0.5000  8 V 2.75
V 0.0000 0.0000 0.3223  4 Mo 2.64, 4 Nb 2.75
V 0.0000 0.0000 0.0000  8 Mo 2.68
V 0.0000 0.0000 0.6777  4 Mo 2.64, 4 Nb 2.75



An optimized crystal structure of NbV2Mo. Source: the Alexandria database, functional GGA-PBE.

Values from the calculation:
distance to the lowest polymorph of the same formula: 0.2033 eV per atom
DFT formation energy: 0.16 eV/atom
final energy: -9.6279 eV per atom

abc: 4.7565 5.2893 5.1534
angles: 90.00 90.00 74.62
With the nearest neighbours (Å) after each atom.
Fractional coordinates of all 8 atoms:
V 0.5051 0.7484 0.1259  4 V 2.64-2.75, 2 Mo 2.66-2.82, 3 Nb 2.72-2.93
V 0.4949 0.2517 0.1259  4 V 2.64-2.75, 2 Mo 2.66-2.82, 3 Nb 2.72-2.93
V 0.0051 0.2483 0.8741  4 V 2.64-2.75, 2 Mo 2.66-2.82, 3 Nb 2.72-2.93
V 0.9949 0.7516 0.8741  4 V 2.64-2.75, 2 Mo 2.66-2.82, 3 Nb 2.72-2.93
Nb 0.5000 0.5000 0.6342  4 Mo 2.64-2.77, 6 V 2.72-2.93
Nb 0.0000 0.0000 0.3658  4 Mo 2.64-2.77, 6 V 2.72-2.93
Mo 0.0000 0.5000 0.3578  4 Nb 2.64-2.77, 4 V 2.66-2.82
Mo 0.5000 0.0000 0.6422  4 Nb 2.64-2.77, 4 V 2.66-2.82